Record 1
Here is crystalline Pr3PuPd12 at its relaxed geometry from Alexandria via LeMat-Bulk. Energies are from PBE.

Calculated values
* space group: P4/mmm (123)
* DOS at the Fermi energy: 1.2458 states/eV/atom
* energy relative to the elements: -0.699 eV per atom
* crystal system: tetragonal

a = 4.1990 Å, b = 4.1990 Å, c = 16.8177 Å
α = 90.00°, β = 90.00°, γ = 90.00°
Last column: nearest neighbours and their distance in Å.
Fractional coordinates of all 16 atoms:
1 Pu 0.0000 0.0000 0.0000  12 Pd 2.90-2.97
2 Pd 0.0000 0.5000 0.8807  2 Pu 2.90, 8 Pd 2.90-3.01, 2 Pr 3.02
3 Pd 0.5000 0.5000 0.5000  4 Pr 2.97, 8 Pd 2.99
4 Pd 0.0000 0.5000 0.1193  2 Pu 2.90, 8 Pd 2.90-3.01, 2 Pr 3.02
5 Pr 0.0000 0.0000 0.5000  12 Pd 2.97-2.99
6 Pr 0.0000 0.0000 0.7516  12 Pd 2.97-3.02
7 Pd 0.5000 0.5000 0.2473  4 Pr 2.97, 8 Pd 2.99-3.01
8 Pd 0.5000 0.0000 0.3736  8 Pd 2.97-2.99, 4 Pr 2.97-2.99
9 Pr 0.0000 0.0000 0.2484  12 Pd 2.97-3.02
10 Pd 0.0000 0.5000 0.6264  8 Pd 2.97-2.99, 4 Pr 2.97-2.99
11 Pd 0.5000 0.0000 0.1193  8 Pd 2.90-3.01, 2 Pu 2.90, 2 Pr 3.02
12 Pd 0.5000 0.0000 0.6264  8 Pd 2.97-2.99, 4 Pr 2.97-2.99
13 Pd 0.5000 0.5000 0.0000  8 Pd 2.90, 4 Pu 2.97
14 Pd 0.5000 0.0000 0.8807  8 Pd 2.90-3.01, 2 Pu 2.90, 2 Pr 3.02
15 Pd 0.5000 0.5000 0.7527  4 Pr 2.97, 8 Pd 2.99-3.01
16 Pd 0.0000 0.5000 0.3736  8 Pd 2.97-2.99, 4 Pr 2.97-2.99

---

Record 2
Here is crystalline YZn17Ag at its relaxed geometry from Alexandria via LeMat-Bulk. Energies are from PBE.

Calculated values
* space group: R3m (160)
* DOS at the Fermi energy: 0.3191 states/eV/atom
* energy relative to the elements: -0.098 eV per atom
* crystal system: trigonal

a = 6.8060 Å, b = 6.8060 Å, c = 6.8060 Å
α = 81.88°, β = 81.88°, γ = 81.88°
Last column: nearest neighbours and their distance in Å.
Fractional coordinates of all 19 atoms:
1 Zn 0.1567 0.6530 0.6530  9 Zn 2.56-2.80, 1 Ag 2.76
2 Zn 0.6530 0.1567 0.6530  9 Zn 2.56-2.80, 1 Ag 2.76
3 Zn 0.6777 0.3007 0.0067  7 Zn 2.62-2.76
4 Zn 0.6777 0.0067 0.3007  7 Zn 2.62-2.76
5 Zn 0.4954 0.9865 0.9865  10 Zn 2.56-2.73
6 Zn 0.9865 0.9865 0.4954  10 Zn 2.56-2.73
7 Zn 0.9865 0.4954 0.9865  10 Zn 2.56-2.73
8 Zn 0.0985 0.0985 0.0985  7 Zn 2.65-2.80
9 Zn 0.3449 0.8392 0.3449  9 Zn 2.57-2.80
10 Zn 0.0067 0.3007 0.6777  7 Zn 2.62-2.76
11 Zn 0.3449 0.3449 0.8392  9 Zn 2.57-2.80
12 Y 0.6623 0.6623 0.6623  19 Zn 3.15-3.46, 1 Ag 3.38
13 Zn 0.3007 0.6777 0.0067  7 Zn 2.62-2.76
14 Zn 0.8997 0.8997 0.8997  7 Zn 2.65-2.80
15 Zn 0.3007 0.0067 0.6777  7 Zn 2.62-2.76
16 Zn 0.0067 0.6777 0.3007  7 Zn 2.62-2.76
17 Zn 0.6530 0.6530 0.1567  9 Zn 2.56-2.80, 1 Ag 2.76
18 Ag 0.4091 0.4091 0.4091  6 Zn 2.76-2.88
19 Zn 0.8392 0.3449 0.3449  9 Zn 2.57-2.80